Entry 1:
A plane-wave DFT calculation with GGA-PBE was carried out for SrCu2SiW after structural relaxation.

Unit cell a=4.884 b=4.884 c=5.456 alpha=90.00 beta=90.00 gamma=90.00
Space group P4/mmm (No. 123)
Unique sites:
Sr  0.000  0.000  0.000 x1
Cu  0.000  0.500  0.000 x2
Si  0.500  0.500  0.500 x1
W  0.000  0.000  0.500 x1

formation energy (no corrections) = 2.543 eV/atom
DOS at the Fermi energy = 4.96 states/eV/f.u.

Entry 2:
A plane-wave DFT calculation with GGA-PBE was carried out for Sr2ZnCu4Si3 after structural relaxation.

Unit cell a=4.243 b=4.243 c=9.927 alpha=90.00 beta=90.00 gamma=90.00
Space group P-4m2 (No. 115)
Unique sites:
Sr  0.000  0.500  0.245 x2
Zn  0.000  0.000  0.500 x1
Cu  0.000  0.000  0.000 x1
Cu  0.000  0.500  0.631 x2
Cu  0.500  0.500  0.000 x1
Si  0.000  0.500  0.876 x2
Si  0.500  0.500  0.500 x1

formation energy (no corrections) = -0.286 eV/atom
DOS at the Fermi energy = 4.00 states/eV/f.u.

Entry 3:
A plane-wave DFT calculation with GGA-PBE was carried out for SrZnCuSi2 after structural relaxation.

Unit cell a=4.228 b=4.228 c=10.258 alpha=90.00 beta=90.00 gamma=90.00
Space group I-4m2 (No. 119)
Unique sites:
Sr  0.000  0.000  0.000 x2
Zn  0.000  0.500  0.250 x2
Cu  0.000  0.500  0.750 x2
Si  0.000  0.000  0.382 x4

formation energy (no corrections) = -0.347 eV/atom
DOS at the Fermi energy = 1.43 states/eV/f.u.
energy above the most stable polymorph in this dataset = 0 meV per atom